1.
VASP calculation (SCAN) on a crystal of ZnReIr2 relaxed with PBEsol.

Output
E above lowest polymorph	0.164	eV/atom
DFT formation energy	-112.4	meV per atom
DFT total energy	-56.82	eV per atom

Structure (CIF):
```
data_ZnReIr2
_symmetry_space_group_name_H-M 'C 1 m 1'
_symmetry_Int_Tables_number 8
_symmetry_space_group_name_Hall 'C -2y'
_cell_length_a 9.0205
_cell_length_b 2.7398
_cell_length_c 4.6243
_cell_angle_alpha 90.00
_cell_angle_beta 99.54
_cell_angle_gamma 90.00
loop_
_atom_site_label
_atom_site_type_symbol
_atom_site_fract_x
_atom_site_fract_y
_atom_site_fract_z
_atom_site_occupancy
Zn1 Zn 0.0000 0.0000 0.0000 1
Re1 Re 0.2382 0.0000 0.7014 1
Ir1 Ir 0.2511 0.5000 0.1966 1
Ir2 Ir 0.4947 0.0000 0.5066 1
```

=====

2.
VASP calculation (SCAN) on a crystal of ZnReIr2 relaxed with PBEsol.

Output
E above lowest polymorph	0.522	eV/atom
DFT formation energy	245.5	meV per atom
DFT total energy	-56.46	eV per atom

Structure (CIF):
```
data_ZnReIr2
_symmetry_space_group_name_H-M 'P m m m'
_symmetry_Int_Tables_number 47
_symmetry_space_group_name_Hall '-P 2 2'
_cell_length_a 2.7455
_cell_length_b 4.5055
_cell_length_c 4.5900
_cell_angle_alpha 90.00
_cell_angle_beta 90.00
_cell_angle_gamma 90.00
loop_
_atom_site_label
_atom_site_type_symbol
_atom_site_fract_x
_atom_site_fract_y
_atom_site_fract_z
_atom_site_occupancy
Zn1 Zn 0.0000 0.0000 0.0000 1
Re1 Re 0.5000 0.0000 0.5000 1
Ir1 Ir 0.0000 0.5000 0.5000 1
Ir2 Ir 0.5000 0.5000 0.0000 1
```